No. 1
SmPaPb2: relaxed, GGA-PBE.

The structure belongs to space group P4/mmm (No. 123); the cell edges are 3.5032, 3.5032 and 9.1593 Å and the angles 90.00°, 90.00° and 90.00°. Symmetry generates all atoms from Sm at (0.0000, 0.0000, 0.0000), Pa at (0.0000, 0.0000, 0.5000) and Pb at (0.5000, 0.5000, 0.2518).

Its formation energy is -0.167 eV/atom. As for the relative energy among the computed polymorphs: 0 meV/atom.

No. 2
LaZnBr2: relaxed, GGA-PBE.

The structure belongs to space group Pm (No. 6); the cell edges are 3.8334, 3.8364 and 8.3513 Å and the angles 90.00°, 90.03° and 90.00°. Symmetry generates all atoms from La at (0.0000, 0.0000, 0.0000), Zn at (0.4993, 0.5000, 0.7824), Br at (0.0019, 0.0000, 0.6370) and Br at (0.5004, 0.5000, 0.2060).

As for the relative energy among the computed polymorphs: 62 meV/atom. For the uncorrected formation energy, the calculation gives -1.04 eV per atom.

No. 3
Ti5Co2OsRh2: relaxed, GGA-PBE.

The structure belongs to space group P4/mbm (No. 127); the cell edges are 9.9273, 9.9273 and 3.0305 Å and the angles 90.00°, 90.00° and 90.00°. Symmetry generates all atoms from Ti at (0.0000, 0.5000, 0.0000), Ti at (0.0885, 0.1937, 0.0000), Co at (0.1288, 0.3712, 0.5000), Os at (0.0000, 0.0000, 0.5000) and Rh at (0.1682, 0.6682, 0.5000).

Its formation energy is -0.335 eV/atom.

No. 4
InGaAs: relaxed, GGA-PBE.

The structure belongs to space group Cmc2_1 (No. 36); the cell edges are 3.9583, 6.8561 and 10.4482 Å and the angles 90.00°, 90.00° and 90.00°. Symmetry generates all atoms from In at (0.0000, 0.1663, 0.0000), Ga at (0.0000, 0.1662, 0.6948) and As at (0.0000, 0.5005, 0.3100).

Its formation energy is -0.068 eV/atom.

No. 5
LiEuInPt: relaxed, GGA-PBE.

The structure belongs to space group F-43m (No. 216); the cell edges are 6.9543, 6.9543 and 6.9543 Å and the angles 90.00°, 90.00° and 90.00°. Symmetry generates all atoms from Li at (0.0000, 0.0000, 0.0000), Eu at (0.2500, 0.2500, 0.7500), In at (0.2500, 0.2500, 0.2500) and Pt at (0.0000, 0.0000, 0.5000).

Its formation energy is -0.567 eV/atom.

No. 6
TbCe2As: relaxed, GGA-PBE.

The structure belongs to space group R-3m (No. 166, hexagonal axes); the cell edges are 3.7858, 3.7858 and 30.3098 Å and the angles 90.00°, 90.00° and 120.00°. Symmetry generates all atoms from Tb at (0.0000, 0.0000, 0.0000), Ce at (0.0000, 0.0000, 0.1054) and As at (0.0000, 0.0000, 0.5000).

Its formation energy is -0.289 eV/atom.

No. 7
Pm3NiIr: relaxed, GGA-PBE.

The structure belongs to space group P2_1/c (No. 14); the cell edges are 8.1960, 6.4125 and 10.2903 Å and the angles 90.00°, 113.57° and 90.00°. Symmetry generates all atoms from Pm at (0.1435, 0.0000, 0.3014), Pm at (0.2744, 0.9998, 0.0030), Pm at (0.3309, 0.0003, 0.6806), Ni at (0.4995, 0.1834, 0.4992) and Ir at (0.0000, 0.2245, 0.5000).

Its formation energy is -0.418 eV/atom. As for the relative energy among the computed polymorphs: 5 meV/atom.

No. 8
VSb2TeBr: relaxed, GGA-PBE.

The structure belongs to space group P4/mmm (No. 123); the cell edges are 5.3876, 5.3876 and 5.6185 Å and the angles 90.00°, 90.00° and 90.00°. Symmetry generates all atoms from V at (0.0000, 0.0000, 0.0000), Sb at (0.0000, 0.5000, 0.5000), Te at (0.5000, 0.5000, 0.0000) and Br at (0.5000, 0.5000, 0.5000).

As for the relative energy among the computed polymorphs: 1372 meV/atom. For the uncorrected formation energy, the calculation gives 1.45 eV per atom.

No. 9
PmGdRu: relaxed, GGA-PBE.

The structure belongs to space group P3m1 (No. 156); the cell edges are 4.7497, 4.7497 and 3.6971 Å and the angles 90.00°, 90.00° and 120.00°. Symmetry generates all atoms from Pm at (0.0000, 0.0000, 0.0000), Gd at (0.3333, 0.6667, 0.4445) and Ru at (0.6667, 0.3333, 0.6977).

Its formation energy is -0.070 eV/atom. As for the relative energy among the computed polymorphs: 165 meV/atom.

No. 10
Y2ReAs: relaxed, GGA-PBE.

The structure belongs to space group P4/mmm (No. 123); the cell edges are 3.6218, 3.6218 and 6.5207 Å and the angles 90.00°, 90.00° and 90.00°. Symmetry generates all atoms from Y at (0.0000, 0.0000, 0.2492), Re at (0.5000, 0.5000, 0.0000) and As at (0.5000, 0.5000, 0.5000).

Its formation energy is -0.361 eV/atom.

No. 11
TiVGa2: relaxed, GGA-PBE.

The structure belongs to space group Fm-3m (No. 225); the cell edges are 6.2551, 6.2551 and 6.2551 Å and the angles 90.00°, 90.00° and 90.00°. Symmetry generates all atoms from Ti at (0.0000, 0.0000, 0.0000), V at (0.0000, 0.0000, 0.5000) and Ga at (0.2500, 0.2500, 0.2500).

Its formation energy is -0.176 eV/atom. As for the relative energy among the computed polymorphs: 158 meV/atom.

No. 12
Pr2Nd3Y7: relaxed, GGA-PBE.

The structure belongs to space group P2/m (No. 10); the cell edges are 6.4419, 3.5680 and 17.7962 Å and the angles 90.00°, 96.10° and 90.00°. Symmetry generates all atoms from Pr at (0.0529, 0.0000, 0.1735), Nd at (0.4560, 0.5000, 0.8404), Nd at (0.5000, 0.0000, 0.5000), Y at (0.0000, 0.5000, 0.5000), Y at (0.2262, 0.0000, 0.6650), Y at (0.2547, 0.0000, 0.0004) and Y at (0.2729, 0.5000, 0.3366).

Its formation energy is 0.082 eV/atom.

No. 13
Ba4CuTc: relaxed, GGA-PBE.

The structure belongs to space group F-43m (No. 216); the cell edges are 9.9646, 9.9646 and 9.9646 Å and the angles 90.00°, 90.00° and 90.00°. Symmetry generates all atoms from Ba at (0.1254, 0.1254, 0.1254), Cu at (0.2500, 0.2500, 0.7500) and Tc at (0.0000, 0.0000, 0.5000).

Its formation energy is 1.258 eV/atom.

No. 14
CoCuPt: relaxed, GGA-PBE.

The structure belongs to space group P3m1 (No. 156); the cell edges are 2.6817, 2.6817 and 6.3693 Å and the angles 90.00°, 90.00° and 120.00°. Symmetry generates all atoms from Co at (0.0000, 0.0000, 0.0000), Cu at (0.3333, 0.6667, 0.3142) and Pt at (0.6667, 0.3333, 0.6642).

Its formation energy is 0.024 eV/atom. As for the relative energy among the computed polymorphs: 110 meV/atom.

No. 15
TcMo: relaxed, GGA-PBE.

The structure belongs to space group P6_3/mmc (No. 194); the cell edges are 4.2622, 4.2622 and 5.1487 Å and the angles 90.00°, 90.00° and 120.00°. Symmetry generates all atoms from Tc at (0.3333, 0.6667, 0.2500) and Mo at (0.3333, 0.6667, 0.7500).

Its formation energy is 1.130 eV/atom. As for the relative energy among the computed polymorphs: 1054 meV/atom.

No. 16
AcLa5DyTm2: relaxed, GGA-PBE.

The structure belongs to space group Cmc2_1 (No. 36); the cell edges are 5.6129, 24.5831 and 9.6008 Å and the angles 90.00°, 90.00° and 90.00°. Symmetry generates all atoms from Ac at (0.0000, 0.1034, 0.0000), La at (0.0000, 0.0251, 0.3327), La at (0.0000, 0.1082, 0.6067), La at (0.0000, 0.1879, 0.3007), La at (0.0000, 0.2405, 0.9278), La at (0.0000, 0.4906, 0.1197), Dy at (0.0000, 0.2711, 0.6056), Tm at (0.0000, 0.3249, 0.2465) and Tm at (0.0000, 0.3884, 0.8663).

Its formation energy is 0.147 eV/atom.

No. 17
Tc2SbAs: relaxed, GGA-PBE.

The structure belongs to space group Immm (No. 71); the cell edges are 3.1617, 5.2457 and 8.3144 Å and the angles 90.00°, 90.00° and 90.00°. Symmetry generates all atoms from Tc at (0.0000, 0.0000, 0.2255), Sb at (0.0000, 0.5000, 0.0000) and As at (0.0000, 0.5000, 0.5000).

As for the relative energy among the computed polymorphs: 379 meV/atom. For the uncorrected formation energy, the calculation gives 0.39 eV per atom.

No. 18
ZrHg3C: relaxed, GGA-PBE.

The structure belongs to space group Pm-3m (No. 221); the cell edges are 5.6950, 5.6950 and 5.6950 Å and the angles 90.00°, 90.00° and 90.00°. Symmetry generates all atoms from Zr at (0.0000, 0.0000, 0.0000), Hg at (0.0000, 0.0000, 0.5000) and C at (0.5000, 0.5000, 0.5000).

Its formation energy is 1.874 eV/atom. As for the relative energy among the computed polymorphs: 748 meV/atom.

No. 19
RbNa2Os: relaxed, GGA-PBE.

The structure belongs to space group Fm-3m (No. 225); the cell edges are 7.7013, 7.7013 and 7.7013 Å and the angles 90.00°, 90.00° and 90.00°. Symmetry generates all atoms from Rb at (0.0000, 0.0000, 0.0000), Na at (0.2500, 0.2500, 0.2500) and Os at (0.0000, 0.0000, 0.5000).

Its formation energy is 1.246 eV/atom. As for the relative energy among the computed polymorphs: 0 meV/atom.

No. 20
PrNd3DyTm: relaxed, GGA-PBE.

The structure belongs to space group Cmcm (No. 63); the cell edges are 5.9229, 11.6378 and 11.8320 Å and the angles 90.00°, 90.00° and 90.00°. Symmetry generates all atoms from Pr at (0.0000, 0.0000, 0.0000), Nd at (0.0000, 0.1714, 0.2500), Nd at (0.0000, 0.3263, 0.5243), Dy at (0.0000, 0.4785, 0.2500) and Tm at (0.0000, 0.1473, 0.7500).

Its formation energy is 0.112 eV/atom.

No. 21
HfTi6P4: relaxed, GGA-PBE.

The structure belongs to space group I-42m (No. 121); the cell edges are 6.5030, 6.5030 and 8.8711 Å and the angles 90.00°, 90.00° and 90.00°. Symmetry generates all atoms from Hf at (0.0000, 0.0000, 0.0000), Ti at (0.0000, 0.5000, 0.0000), Ti at (0.1443, 0.1443, 0.3321) and P at (0.2247, 0.2247, 0.5949).

Its formation energy is -0.799 eV/atom.

Theoretical density? In order: 11756, 4923, 8376, 6078, 9259, 6807, 9191, 5111, 9272, 8521, 6466, 5458, 4772, 13294, 7952, 7129, 9457, 6338, 4678, 7371, 5219 kg/m3.